# Al2CoRh2 | the Alexandria database | PBE-GGA | optimized geometry
# - Calculated density: 7.58 g/cm³
# - Magnetic moment: 3.7 Bohr magnetons per cell
# - E: -6.3773 eV/atom
# - E_form: -518 meV/atom
data_Al2CoRh2
_chemical_formula_sum 'Al4 Co2 Rh4'
_cell_length_a 6.993
_cell_length_b 6.993
_cell_length_c 2.857
_cell_angle_alpha 90.00
_cell_angle_beta 90.00
_cell_angle_gamma 90.00
_symmetry_space_group_name_H-M 'P 4/m b m'
_symmetry_Int_Tables_number 127
_symmetry_space_group_name_Hall '-P 4 2ab'
loop_
_atom_site_label
_atom_site_type_symbol
_atom_site_fract_x
_atom_site_fract_y
_atom_site_fract_z
Al1 Al 0.141 0.359 0.000
Co1 Co 0.000 0.000 0.000
Rh1 Rh 0.158 0.658 0.500

=====

# LaSmHgTe | the Alexandria database | PBE-GGA | optimized geometry
# - Calculated density: 7.94 g/cm³
# - Magnetic moment: 0.0 Bohr magnetons per cell
# - Formation energy from raw total energies: -0.92 eV per atom
# - E: -4.1912 eV/atom
data_LaSmHgTe
_chemical_formula_sum 'La1 Sm1 Hg1 Te1'
_cell_length_a 4.478
_cell_length_b 4.478
_cell_length_c 6.437
_cell_angle_alpha 90.00
_cell_angle_beta 90.00
_cell_angle_gamma 90.00
_symmetry_space_group_name_H-M 'P 4/m m m'
_symmetry_Int_Tables_number 123
_symmetry_space_group_name_Hall '-P 4 2'
loop_
_atom_site_label
_atom_site_type_symbol
_atom_site_fract_x
_atom_site_fract_y
_atom_site_fract_z
La1 La 0.000 0.000 0.000
Sm1 Sm 0.500 0.500 0.500
Hg1 Hg 0.500 0.500 0.000
Te1 Te 0.000 0.000 0.500

=====

# Pu3Cu2P2H4 | the Alexandria database | PBE-GGA | optimized geometry
# - Calculated density: 10.45 g/cm³
# - Magnetic moment: 29.8 Bohr magnetons per cell
# - E: -7.3077 eV/atom
data_Pu3Cu2P2H4
_chemical_formula_sum 'Pu6 Cu4 P4 H8'
_cell_length_a 3.862
_cell_length_b 3.862
_cell_length_c 19.707
_cell_angle_alpha 90.00
_cell_angle_beta 90.00
_cell_angle_gamma 90.00
_symmetry_space_group_name_H-M 'I 4/m m m'
_symmetry_Int_Tables_number 139
_symmetry_space_group_name_Hall '-I 4 2'
loop_
_atom_site_label
_atom_site_type_symbol
_atom_site_fract_x
_atom_site_fract_y
_atom_site_fract_z
Pu1 Pu 0.000 0.000 0.000
Pu2 Pu 0.000 0.000 0.168
Cu1 Cu 0.000 0.000 0.427
P1 P 0.000 0.000 0.307
H1 H 0.000 0.500 0.072

=====

# Na2InP2 | the Alexandria database | PBE-GGA | optimized geometry
# - Calculated density: 3.48 g/cm³
# - Magnetic moment: 0.0 Bohr magnetons per cell
# - E: -3.1526 eV/atom
# - E_form: 87 meV/atom
data_Na2InP2
_chemical_formula_sum 'Na4 In2 P4'
_cell_length_a 8.694
_cell_length_b 8.694
_cell_length_c 2.812
_cell_angle_alpha 90.00
_cell_angle_beta 90.00
_cell_angle_gamma 90.00
_symmetry_space_group_name_H-M 'P 4/m b m'
_symmetry_Int_Tables_number 127
_symmetry_space_group_name_Hall '-P 4 2ab'
loop_
_atom_site_label
_atom_site_type_symbol
_atom_site_fract_x
_atom_site_fract_y
_atom_site_fract_z
Na1 Na 0.121 0.379 0.000
In1 In 0.000 0.000 0.000
P1 P 0.177 0.677 0.500

=====

# Ag3BTe4 | the Alexandria database | PBE-GGA | optimized geometry
# - Calculated density: 6.22 g/cm³
# - Magnetic moment: 0.0 Bohr magnetons per cell
# - Formation energy from raw total energies: 0.09 eV per atom
# - E: -3.3813 eV/atom
data_Ag3BTe4
_chemical_formula_sum 'Ag6 B2 Te8'
_cell_length_a 8.342
_cell_length_b 7.403
_cell_length_c 7.301
_cell_angle_alpha 90.00
_cell_angle_beta 90.00
_cell_angle_gamma 90.00
_symmetry_space_group_name_H-M 'P m n 21'
_symmetry_Int_Tables_number 31
_symmetry_space_group_name_Hall 'P 2ac -2'
loop_
_atom_site_label
_atom_site_type_symbol
_atom_site_fract_x
_atom_site_fract_y
_atom_site_fract_z
Ag1 Ag 0.000 0.137 0.000
Ag2 Ag 0.248 0.327 0.491
B1 B 0.000 0.827 0.507
Te1 Te 0.000 0.113 0.621
Te2 Te 0.000 0.815 0.194
Te3 Te 0.224 0.683 0.612

=====

# BaSbSe2I | the Alexandria database | PBE-GGA | optimized geometry
# - Calculated density: 4.55 g/cm³
# - Magnetic moment: 0.0 Bohr magnetons per cell
# - Formation energy from raw total energies: -0.54 eV per atom
# - E: -3.4570 eV/atom
data_BaSbSe2I
_chemical_formula_sum 'Ba1 Sb1 Se2 I1'
_cell_length_a 5.287
_cell_length_b 5.287
_cell_length_c 7.094
_cell_angle_alpha 90.00
_cell_angle_beta 90.00
_cell_angle_gamma 90.00
_symmetry_space_group_name_H-M 'P 4/m m m'
_symmetry_Int_Tables_number 123
_symmetry_space_group_name_Hall '-P 4 2'
loop_
_atom_site_label
_atom_site_type_symbol
_atom_site_fract_x
_atom_site_fract_y
_atom_site_fract_z
Ba1 Ba 0.000 0.000 0.000
Sb1 Sb 0.000 0.000 0.500
Se1 Se 0.000 0.500 0.500
I1 I 0.500 0.500 0.000

=====

- The lowest calculated density belongs to which entry?
  Na2InP2

=====

- Among the records above, which one has the highest E?
  Na2InP2

=====

- Look up the E of the third one.
  -7.3077 eV/atom